Entry P
VASP calculation (PBE-GGA) on crystalline Sm2ZrAg at its relaxed geometry.

The value obtained for the magnetic moment is 0.00 μB per atom. As for the volume: 26.7 Å³/atom. As for the symmetry: P4/mmm (123).

a b c (Å): 3.4949 3.4949 8.7534
angles (deg): 90.00 90.00 90.00
Closest atoms and distances in Å follow each position.
Fractional coordinates of all 4 atoms:
Ag  0.5000  0.5000  0.0000  8 Sm 3.23, 4 Ag 3.49
Sm  0.0000  0.0000  0.7629  4 Ag 3.23, 4 Zr 3.38, 4 Sm 3.49
Zr  0.5000  0.5000  0.5000  8 Sm 3.38, 4 Zr 3.49
Sm  0.0000  0.0000  0.2371  4 Ag 3.23, 4 Zr 3.38, 4 Sm 3.49

---

Entry Q
VASP calculation (PBE-GGA) on crystalline Sm2ZrAg at its relaxed geometry.

The value obtained for the magnetic moment is 0.00 μB per atom. As for the volume: 26.8 Å³/atom. As for the symmetry: R-3m (166).

a b c (Å): 3.2685 3.2685 11.7322
angles (deg): 81.99 81.99 60.00
Closest atoms and distances in Å follow each position.
Fractional coordinates of all 4 atoms:
Sm  0.9081  0.9081  0.2756  1 Zr 3.19, 3 Ag 3.21, 6 Sm 3.27
Zr  0.0000  0.0000  0.0000  2 Sm 3.19, 6 Zr 3.27
Ag  0.5000  0.5000  0.5000  6 Sm 3.21, 6 Ag 3.27
Sm  0.0919  0.0919  0.7244  1 Zr 3.19, 3 Ag 3.21, 6 Sm 3.27

---

Stability, highest: entry P

---

Entry P
VASP calculation (PBE-GGA) on crystalline SmZrAg at its relaxed geometry.

The value obtained for the magnetic moment is 0.00 μB per atom. As for the volume: 24.7 Å³/atom. As for the symmetry: Cmcm (63).

a b c (Å): 3.4450 5.2784 8.3326
angles (deg): 90.00 101.93 90.00
Closest atoms and distances in Å follow each position.
Fractional coordinates of all 6 atoms:
Ag  0.4181  0.2500  0.8361  2 Zr 2.98, 6 Sm 3.15-3.29
Zr  0.7687  0.2500  0.5374  2 Ag 2.98, 4 Zr 3.21
Sm  0.9099  0.7500  0.8198  6 Ag 3.15-3.29, 4 Zr 3.38-3.50, 2 Sm 3.44
Zr  0.2313  0.7500  0.4626  2 Ag 2.98, 4 Zr 3.21
Ag  0.5819  0.7500  0.1639  2 Zr 2.98, 6 Sm 3.15-3.29
Sm  0.0901  0.2500  0.1802  6 Ag 3.15-3.29, 4 Zr 3.38-3.50, 2 Sm 3.44

---

Entry Q
VASP calculation (PBE-GGA) on crystalline SmZrAg at its relaxed geometry.

The value obtained for the magnetic moment is 0.00 μB per atom. As for the volume: 24.6 Å³/atom. As for the symmetry: I4mm (107).

a b c (Å): 3.4262 3.4262 6.7424
angles (deg): 104.72 104.72 90.00
Closest atoms and distances in Å follow each position.
Fractional coordinates of all 3 atoms:
Zr  0.3184  0.3184  0.6369  4 Ag 2.98
Ag  0.6799  0.6799  0.3599  4 Zr 2.98, 4 Sm 3.30
Sm  0.0016  0.0016  0.0033  4 Ag 3.30, 4 Zr 3.34, 4 Sm 3.43

---

Entry R
VASP calculation (PBE-GGA) on crystalline SmZrAg at its relaxed geometry.

The value obtained for the magnetic moment is 0.00 μB per atom. As for the volume: 24.9 Å³/atom. As for the symmetry: P3m1 (156).

a b c (Å): 3.4623 4.9953 4.9953
angles (deg): 120.00 90.00 90.00
Closest atoms and distances in Å follow each position.
Fractional coordinates of all 3 atoms:
Ag  0.2276  0.3333  0.6667  3 Zr 2.91, 3 Sm 3.24
Zr  0.1194  0.0000  0.0000  3 Ag 2.91
Sm  0.6530  0.6667  0.3333  6 Ag 3.24-3.50, 6 Zr 3.31-3.43, 2 Sm 3.46

---

Stability, highest: entry P

---

Entry P
VASP calculation (PBE-GGA) on crystalline AgSn5 at its relaxed geometry.

The value obtained for the magnetic moment is 0.00 μB per atom. As for the volume: 26.2 Å³/atom. As for the symmetry: Cmmm (65).

a b c (Å): 3.3513 5.4355 8.7763
angles (deg): 90.00 101.01 90.00
Closest atoms and distances in Å follow each position.
Fractional coordinates of all 6 atoms:
Sn  0.5000  0.5000  0.0000  4 Ag 3.19, 6 Sn 3.35-3.36
Sn  0.1693  0.5000  0.3387  10 Sn 3.22-3.36
Sn  0.3541  0.0000  0.7083  2 Ag 3.02, 6 Sn 3.22-3.35
Sn  0.8307  0.5000  0.6613  10 Sn 3.22-3.36
Sn  0.6459  0.0000  0.2917  2 Ag 3.02, 6 Sn 3.22-3.35
Ag  0.0000  0.0000  0.0000  8 Sn 3.02-3.19, 2 Ag 3.35

---

Entry Q
VASP calculation (PBE-GGA) on crystalline AgSn5 at its relaxed geometry.

The value obtained for the magnetic moment is 0.00 μB per atom. As for the volume: 26.0 Å³/atom. As for the symmetry: Cmmm (65).

a b c (Å): 4.4033 4.7493 7.8301
angles (deg): 107.65 90.00 90.00
Closest atoms and distances in Å follow each position.
Fractional coordinates of all 6 atoms:
Sn  0.0000  0.6653  0.3305  10 Sn 3.24-3.47, 2 Ag 3.42
Sn  0.0000  0.3347  0.6695  10 Sn 3.24-3.47, 2 Ag 3.42
Sn  0.5000  0.5000  0.0000  4 Ag 3.24, 8 Sn 3.31
Sn  0.5000  0.1550  0.3100  2 Ag 3.19, 8 Sn 3.24-3.47
Sn  0.5000  0.8450  0.6900  2 Ag 3.19, 8 Sn 3.24-3.47
Ag  0.0000  0.0000  0.0000  12 Sn 3.19-3.42

---

Stability, highest: entry Q

---

Entry P
VASP calculation (PBE-GGA) on crystalline Ag5Sn2 at its relaxed geometry.

The value obtained for the magnetic moment is 0.00 μB per atom. As for the volume: 20.0 Å³/atom. As for the symmetry: C2/c (15).

a b c (Å): 5.1670 7.9436 7.3006
angles (deg): 93.78 110.72 90.00
Closest atoms and distances in Å follow each position.
Fractional coordinates of all 14 atoms:
Ag  0.3108  0.4652  0.2977  8 Ag 2.92-3.15, 4 Sn 2.95-3.26
Ag  0.1612  0.7500  0.0000  6 Sn 3.02-3.10, 6 Ag 3.03-3.15
Sn  0.7507  0.6065  0.1613  10 Ag 2.95-3.26, 2 Sn 3.21-3.28
Ag  0.9869  0.9652  0.2977  8 Ag 2.92-3.15, 4 Sn 2.95-3.26
Ag  0.1152  0.6844  0.5760  9 Ag 2.95-3.14, 3 Sn 2.95-3.02
Ag  0.8388  0.2500  0.0000  6 Sn 3.02-3.10, 6 Ag 3.03-3.15
Ag  0.4608  0.1844  0.5760  9 Ag 2.95-3.14, 3 Sn 2.95-3.02
Ag  0.0131  0.0348  0.7023  8 Ag 2.92-3.15, 4 Sn 2.95-3.26
Sn  0.5895  0.8935  0.8387  10 Ag 2.95-3.26, 2 Sn 3.21-3.28
Ag  0.8848  0.3156  0.4240  9 Ag 2.95-3.14, 3 Sn 2.95-3.02
Ag  0.6892  0.5348  0.7023  8 Ag 2.92-3.15, 4 Sn 2.95-3.26
Ag  0.5392  0.8156  0.4240  9 Ag 2.95-3.14, 3 Sn 2.95-3.02
Sn  0.2493  0.3935  0.8387  10 Ag 2.95-3.26, 2 Sn 3.21-3.28
Sn  0.4105  0.1065  0.1613  10 Ag 2.95-3.26, 2 Sn 3.21-3.28

---

Entry Q
VASP calculation (PBE-GGA) on crystalline Ag5Sn2 at its relaxed geometry.

The value obtained for the magnetic moment is 0.00 μB per atom. As for the volume: 20.6 Å³/atom. As for the symmetry: C2/m (12).

a b c (Å): 7.2458 5.5216 5.5216
angles (deg): 114.31 67.74 67.74
Closest atoms and distances in Å follow each position.
Fractional coordinates of all 7 atoms:
Sn  0.6040  0.6608  0.6608  7 Ag 2.84-2.98, 1 Sn 3.17
Ag  0.7678  0.0615  0.6337  6 Ag 2.77-3.07, 3 Sn 2.91-2.98
Ag  0.2322  0.3663  0.9385  6 Ag 2.77-3.07, 3 Sn 2.91-2.98
Ag  0.7678  0.6337  0.0615  6 Ag 2.77-3.07, 3 Sn 2.91-2.98
Ag  0.0000  0.0000  0.0000  2 Sn 2.84, 8 Ag 3.05-3.12
Ag  0.2322  0.9385  0.3663  6 Ag 2.77-3.07, 3 Sn 2.91-2.98
Sn  0.3960  0.3392  0.3392  7 Ag 2.84-2.98, 1 Sn 3.17

---

Stability, highest: entry P

---

Entry P
VASP calculation (PBE-GGA) on crystalline Ag3Sn2 at its relaxed geometry.

The value obtained for the magnetic moment is 0.00 μB per atom. As for the volume: 22.2 Å³/atom. As for the symmetry: C2/m (12).

a b c (Å): 3.3286 7.4559 6.0505
angles (deg): 128.03 105.53 90.00
Closest atoms and distances in Å follow each position.
Fractional coordinates of all 5 atoms:
Ag  0.5000  0.6951  0.0000  3 Ag 2.82-2.91, 4 Sn 3.00-3.04
Sn  0.2324  0.7296  0.4593  6 Ag 2.93-3.04
Ag  0.5000  0.3049  0.0000  3 Ag 2.82-2.91, 4 Sn 3.00-3.04
Sn  0.7676  0.2704  0.5407  6 Ag 2.93-3.04
Ag  0.0000  0.0000  0.0000  4 Ag 2.82, 4 Sn 2.93-2.95

---

Entry Q
VASP calculation (PBE-GGA) on crystalline Ag3Sn2 at its relaxed geometry.

The value obtained for the magnetic moment is 0.00 μB per atom. As for the volume: 23.1 Å³/atom. As for the symmetry: R-3c (167).

a b c (Å): 8.0235 8.0235 6.2105
angles (deg): 49.76 49.76 60.00
Closest atoms and distances in Å follow each position.
Fractional coordinates of all 10 atoms:
Sn  0.8798  0.8798  0.3605  6 Ag 2.83-2.93, 1 Sn 2.98
Sn  0.1202  0.1202  0.6395  6 Ag 2.83-2.93, 1 Sn 2.98
Ag  0.5546  0.9454  0.2500  4 Sn 2.83-2.93
Ag  0.4454  0.0546  0.7500  4 Sn 2.83-2.93
Ag  0.2500  0.5546  0.2500  4 Sn 2.83-2.93
Sn  0.3798  0.3798  0.8605  6 Ag 2.83-2.93, 1 Sn 2.98
Ag  0.0546  0.7500  0.7500  4 Sn 2.83-2.93
Sn  0.6202  0.6202  0.1395  6 Ag 2.83-2.93, 1 Sn 2.98
Ag  0.7500  0.4454  0.7500  4 Sn 2.83-2.93
Ag  0.9454  0.2500  0.2500  4 Sn 2.83-2.93

---

Stability, highest: entry P

---

Entry P
VASP calculation (PBE-GGA) on crystalline Ag13Sn2 at its relaxed geometry.

The value obtained for the magnetic moment is 0.00 μB per atom. As for the volume: 22.8 Å³/atom. As for the symmetry: R-3m (166).

a b c (Å): 7.4892 7.4892 8.2515
angles (deg): 63.01 63.01 60.00
Closest atoms and distances in Å follow each position.
Fractional coordinates of all 15 atoms:
Ag  0.5000  0.5000  0.5000  2 Sn 2.78, 6 Ag 2.84
Ag  0.7496  0.7496  0.3766  6 Ag 2.81-2.90
Ag  0.2504  0.8758  0.6234  6 Ag 2.81-2.90
Ag  0.1242  0.7496  0.3766  6 Ag 2.81-2.90
Ag  0.3872  0.3872  0.2219  2 Sn 2.79-2.83, 5 Ag 2.82-2.90
Ag  0.8758  0.2504  0.6234  6 Ag 2.81-2.90
Ag  0.6128  0.9964  0.7781  2 Sn 2.79-2.83, 5 Ag 2.82-2.90
Ag  0.6128  0.6128  0.7781  2 Sn 2.79-2.83, 5 Ag 2.82-2.90
Sn  0.6317  0.6317  0.1049  7 Ag 2.78-2.83
Sn  0.3683  0.3683  0.8951  7 Ag 2.78-2.83
Ag  0.2504  0.2504  0.6234  6 Ag 2.81-2.90
Ag  0.7496  0.1242  0.3766  6 Ag 2.81-2.90
Ag  0.9964  0.6128  0.7781  2 Sn 2.79-2.83, 5 Ag 2.82-2.90
Ag  0.0036  0.3872  0.2219  2 Sn 2.79-2.83, 5 Ag 2.82-2.90
Ag  0.3872  0.0036  0.2219  2 Sn 2.79-2.83, 5 Ag 2.82-2.90

---

Entry Q
VASP calculation (PBE-GGA) on crystalline Ag13Sn2 at its relaxed geometry.

The value obtained for the magnetic moment is 0.00 μB per atom. As for the volume: 18.7 Å³/atom. As for the symmetry: P-1 (2).

a b c (Å): 5.1936 7.2801 8.8644
angles (deg): 122.33 94.60 91.73
Closest atoms and distances in Å follow each position.
Fractional coordinates of all 15 atoms:
Ag  0.2043  0.7888  0.1933  11 Ag 2.89-3.06, 1 Sn 2.98
Ag  0.0000  0.0000  0.0000  2 Sn 2.94, 10 Ag 2.94-3.02
Ag  0.7957  0.2112  0.8067  11 Ag 2.89-3.06, 1 Sn 2.98
Sn  0.0779  0.2524  0.3948  11 Ag 2.93-3.09, 1 Sn 3.22
Ag  0.1378  0.5336  0.8044  10 Ag 2.89-3.02, 2 Sn 3.05-3.09
Ag  0.3964  0.5984  0.3968  9 Ag 2.93-3.04, 3 Sn 2.96-3.07
Ag  0.7272  0.9308  0.3962  10 Ag 2.93-3.07, 2 Sn 2.93-2.94
Ag  0.3326  0.3345  0.0006  12 Ag 2.93-2.99
Ag  0.6674  0.6655  0.9994  12 Ag 2.93-2.99
Ag  0.8622  0.4664  0.1956  10 Ag 2.89-3.02, 2 Sn 3.05-3.09
Ag  0.6036  0.4016  0.6032  9 Ag 2.93-3.04, 3 Sn 2.96-3.07
Ag  0.2728  0.0692  0.6038  10 Ag 2.93-3.07, 2 Sn 2.93-2.94
Ag  0.4627  0.8710  0.8057  10 Ag 2.89-3.04, 2 Sn 2.96-3.03
Ag  0.5373  0.1290  0.1943  10 Ag 2.89-3.04, 2 Sn 2.96-3.03
Sn  0.9221  0.7476  0.6052  11 Ag 2.93-3.09, 1 Sn 3.22

---

Stability, highest: entry Q